Record 1
Here is Ag2RhCl at its PBEsol-relaxed geometry from Alexandria. Energies are from meta-GGA SCAN.

Results
formation energy without anion corrections = 0.176 eV/atom
E = -103.78 eV per cell
energy above the lowest structure with this stoichiometry = 0.00 kJ per mole of atoms

Cell lengths 2.9543, 2.9543, 7.5481 Å; angles 90.00, 90.00, 90.00 degrees
Sites, in units of the cell vectors:
Ag  0.0000  0.0000  0.2435
Ag  0.0000  0.0000  0.7565
Rh  0.5000  0.5000  0.0000
Cl  0.5000  0.5000  0.5000

=====

Record 2
Here is AgRhCl2 at its PBEsol-relaxed geometry from Alexandria. Energies are from meta-GGA SCAN.

Results
formation energy without anion corrections = 0.126 eV/atom
E = -80.59 eV per cell
energy above the lowest structure with this stoichiometry = 14.16 kJ per mole of atoms

Cell lengths 4.5562, 4.5562, 4.5562 Å; angles 60.00, 60.00, 60.00 degrees
Sites, in units of the cell vectors:
Ag  0.0000  0.0000  0.0000
Rh  0.5000  0.5000  0.5000
Cl  0.2500  0.2500  0.2500
Cl  0.7500  0.7500  0.7500

=====

Record 3
Here is AgRhCl at its PBEsol-relaxed geometry from Alexandria. Energies are from meta-GGA SCAN.

Results
formation energy without anion corrections = 0.767 eV/atom
E = -70.82 eV per cell

Cell lengths 4.2413, 4.2413, 4.2413 Å; angles 60.00, 60.00, 60.00 degrees
Sites, in units of the cell vectors:
Ag  0.0000  0.0000  0.0000
Rh  0.5000  0.5000  0.5000
Cl  0.7500  0.7500  0.7500

=====

Record 4
Here is AgRhS2Cl at its PBEsol-relaxed geometry from Alexandria. Energies are from meta-GGA SCAN.

Results
formation energy without anion corrections = 1.317 eV/atom
E = -85.79 eV per cell

Cell lengths 4.6006, 4.6006, 4.5679 Å; angles 90.00, 90.00, 90.00 degrees
Sites, in units of the cell vectors:
Ag  0.0000  0.0000  0.0000
Rh  0.5000  0.5000  0.0000
S  0.0000  0.5000  0.5000
S  0.5000  0.0000  0.5000
Cl  0.0000  0.0000  0.5000